Arrangement P

Here is a relaxed structure of SrCd2SN from Alexandria. Energies are from PBE.

Properties
DOS at the Fermi energy, states/eV per cell: 0.6
Space group: P4/mmm, No. 123

Lattice parameters (Å, degrees): 7.1272 5.4251 7.1272 90.00 90.00 90.00
Last column: magnetic moment on the atom in μB.
Sites, in units of the cell vectors:
Sr1 0.0000 0.0000 0.0000  0.00
Cd1 0.0000 0.0000 0.5000  0.01
S1 0.0000 0.5000 0.0000  0.03
Cd2 0.5000 0.0000 0.0000  0.01
N1 0.5000 0.5000 0.5000  1.91

Arrangement Q

Here is a relaxed structure of SrCd2SN from Alexandria. Energies are from PBE.

Properties
DOS at the Fermi energy, states/eV per cell: 1.3
Space group: P4/mmm, No. 123

Lattice parameters (Å, degrees): 4.4687 5.6051 4.4687 90.00 90.00 90.00
Sites, in units of the cell vectors:
Sr1 0.0000 0.5000 0.0000
S1 0.5000 0.5000 0.5000
N1 0.0000 0.0000 0.0000
Cd1 0.0000 0.0000 0.5000
Cd2 0.5000 0.0000 0.0000

Short version: arrangement Q, arrangement P, most stable first.

Arrangement P

Here is a relaxed structure of SrCdSN2 from Alexandria. Energies are from PBE.

Properties
DOS at the Fermi energy, states/eV per cell: 1.5
Space group: P4/mmm, No. 123

Lattice parameters (Å, degrees): 4.7935 4.7935 5.9210 90.00 90.00 90.00
Last column: magnetic moment on the atom in μB.
Sites, in units of the cell vectors:
Cd1 0.5000 0.5000 0.5000  0.00
N1 0.0000 0.5000 0.0000  1.39
Sr1 0.0000 0.0000 0.0000  0.06
N2 0.5000 0.0000 0.0000  1.39
S1 0.0000 0.0000 0.5000  0.09

Arrangement Q

Here is a relaxed structure of SrCdSN2 from Alexandria. Energies are from PBE.

Properties
DOS at the Fermi energy, states/eV per cell: 2.3
Space group: P4/mmm, No. 123

Lattice parameters (Å, degrees): 4.3774 4.3774 5.3247 90.00 90.00 90.00
Last column: magnetic moment on the atom in μB.
Sites, in units of the cell vectors:
S1 0.0000 0.0000 0.5000  0.21
N1 0.0000 0.5000 0.0000  1.01
N2 0.5000 0.0000 0.0000  1.01
Cd1 0.0000 0.0000 0.0000  0.05
Sr1 0.5000 0.5000 0.5000  0.00

Short version: arrangement Q, arrangement P, most stable first.